{
  "formula": "MnCrPt",
  "functional": "meta-GGA SCAN",
  "state": "single point on PBEsol structure",
  "formation_enthalpy_0k_ev_per_fu": -1.30,
  "space_group": "No. 44",
  "rho_g_cm3": 13.1,
  "cell": [[-0.773, -2.519, -0.330], [0.467, -0.597, 3.462], [-3.716, 2.652, -0.854]],
  "species": ["Mn", "Pt", "Cr"],
  "frac_coords": [[0.656, 0.656, 0.313], [0.333, 0.333, 0.667], [0.010, 0.010, 0.020]]
}